(1)
Below is a PBEsol-optimized structure of MnFe2As, with properties calculated at the meta-GGA SCAN level.

Unit cell a=2.8874 b=3.8800 c=4.6667 alpha=114.56 beta=108.02 gamma=90.00
Last column: nearest neighbours and their distance in Å.
Atoms (fractional coordinates):
Mn 0.5000 0.0000 0.0000  4 As 2.42, 4 Fe 2.54
As 0.0000 0.5000 0.0000  4 Fe 2.39, 4 Mn 2.42
Fe 0.2617 0.2617 0.5234  2 As 2.39, 4 Fe 2.43, 2 Mn 2.54
Fe 0.7383 0.7383 0.4766  2 As 2.39, 4 Fe 2.43, 2 Mn 2.54

Calculated values
Total moment ... 1.60 μB/f.u.
Density of states at the Fermi level ... 2.471 states/eV/f.u.
Energy relative to the elements ... 0.0047 eV per atom


(2)
Below is a PBEsol-optimized structure of FeMoAs3, with properties calculated at the meta-GGA SCAN level.

Unit cell a=4.7974 b=4.7974 c=4.7974 alpha=90.00 beta=90.00 gamma=90.00
Last column: nearest neighbours and their distance in Å.
Atoms (fractional coordinates):
Fe 0.5000 0.5000 0.5000  12 As 3.39
As 0.5000 0.0000 0.0000  2 Mo 2.40
As 0.0000 0.5000 0.0000  2 Mo 2.40
As 0.0000 0.0000 0.5000  2 Mo 2.40
Mo 0.0000 0.0000 0.0000  6 As 2.40

Calculated values
Total moment ... 3.24 μB/f.u.
Density of states at the Fermi level ... 3.646 states/eV/f.u.
Energy relative to the elements ... 0.8646 eV per atom


(3)
Below is a PBEsol-optimized structure of FeMoAs2Se, with properties calculated at the meta-GGA SCAN level.

Unit cell a=4.8104 b=4.8104 c=4.8315 alpha=90.00 beta=90.00 gamma=90.00
Last column: nearest neighbours and their distance in Å.
Atoms (fractional coordinates):
As 0.5000 0.0000 0.0000  2 Mo 2.41
As 0.0000 0.5000 0.0000  2 Mo 2.41
Mo 0.0000 0.0000 0.0000  4 As 2.41, 2 Se 2.42
Fe 0.5000 0.5000 0.5000  4 Se 3.40, 8 As 3.41
Se 0.0000 0.0000 0.5000  2 Mo 2.42

Calculated values
Total moment ... 3.73 μB/f.u.
Density of states at the Fermi level ... 3.493 states/eV/f.u.
Formation energy from raw total energies ... 0.819 eV/atom


(4)
Below is a PBEsol-optimized structure of FeAsN2O, with properties calculated at the meta-GGA SCAN level.

Unit cell a=3.5418 b=3.7251 c=3.7251 alpha=90.00 beta=90.00 gamma=90.00
Last column: nearest neighbours and their distance in Å.
Atoms (fractional coordinates):
Fe 0.0000 0.0000 0.0000  2 O 1.77, 4 N 1.86
As 0.5000 0.5000 0.5000  8 N 2.57, 4 O 2.63
N 0.0000 0.5000 0.0000  2 Fe 1.86
N 0.0000 0.0000 0.5000  2 Fe 1.86
O 0.5000 0.0000 0.0000  2 Fe 1.77

Calculated values
Total moment ... 3.07 μB/f.u.
Density of states at the Fermi level ... 2.213 states/eV/f.u.
Formation energy from raw total energies ... 0.637 eV/atom


(5)
Below is a PBEsol-optimized structure of NaSr2Fe6As6, with properties calculated at the meta-GGA SCAN level.

Unit cell a=5.5186 b=6.2270 c=8.3255 alpha=107.96 beta=109.36 gamma=90.00
Last column: nearest neighbours and their distance in Å.
Atoms (fractional coordinates):
As 0.1181 0.5234 0.2363  4 Fe 2.28
As 0.2145 0.1397 0.4291  4 Fe 2.28
As 0.8819 0.4766 0.7637  4 Fe 2.28
As 0.7855 0.8603 0.5709  4 Fe 2.28
As 0.4517 0.1925 0.9035  4 Fe 2.28
As 0.5483 0.8075 0.0965  4 Fe 2.28
Sr 0.6644 0.3280 0.3288  8 As 3.16-3.24, 8 Fe 3.40-3.42
Sr 0.3356 0.6720 0.6712  8 As 3.16-3.24, 8 Fe 3.40-3.42
Fe 0.4162 0.8314 0.3333  4 As 2.28
Fe 0.2495 0.5000 0.0000  4 As 2.28
Fe 0.7505 0.5000 0.0000  4 As 2.28
Fe 0.5838 0.1686 0.6667  4 As 2.28
Fe 0.9171 0.8314 0.3333  4 As 2.28
Fe 0.0829 0.1686 0.6667  4 As 2.28
Na 0.0000 0.0000 0.0000  8 As 3.18-3.20, 8 Fe 3.40-3.41

Calculated values
Total moment ... 0.00 μB/f.u.
Density of states at the Fermi level ... 9.470 states/eV/f.u.
Energy relative to the elements ... -0.3757 eV per atom


(6)
Below is a PBEsol-optimized structure of Nb3FeAs, with properties calculated at the meta-GGA SCAN level.

Unit cell a=4.5337 b=4.5337 c=4.5337 alpha=90.00 beta=90.00 gamma=90.00
Last column: nearest neighbours and their distance in Å.
Atoms (fractional coordinates):
Nb 0.0000 0.5000 0.0000  2 Fe 2.27
Nb 0.0000 0.0000 0.5000  2 Fe 2.27
Nb 0.5000 0.0000 0.0000  2 Fe 2.27
Fe 0.0000 0.0000 0.0000  6 Nb 2.27
As 0.5000 0.5000 0.5000  12 Nb 3.21

Calculated values
Total moment ... 0.00 μB/f.u.
Density of states at the Fermi level ... 4.748 states/eV/f.u.
Energy relative to the elements ... 0.6364 eV per atom


(7)
Below is a PBEsol-optimized structure of NbFeAs2Se, with properties calculated at the meta-GGA SCAN level.

Unit cell a=4.9095 b=4.9445 c=4.9445 alpha=90.00 beta=90.00 gamma=90.00
Last column: nearest neighbours and their distance in Å.
Atoms (fractional coordinates):
As 0.0000 0.5000 0.0000  2 Nb 2.47
As 0.0000 0.0000 0.5000  2 Nb 2.47
Nb 0.0000 0.0000 0.0000  2 Se 2.45, 4 As 2.47
Fe 0.5000 0.5000 0.5000  8 As 3.48, 4 Se 3.50
Se 0.5000 0.0000 0.0000  2 Nb 2.45

Calculated values
Total moment ... 3.46 μB/f.u.
Density of states at the Fermi level ... 4.208 states/eV/f.u.
Formation energy from raw total energies ... 0.624 eV/atom


(8)
Below is a PBEsol-optimized structure of FeNiAs, with properties calculated at the meta-GGA SCAN level.

Unit cell a=2.7460 b=3.8848 c=3.8848 alpha=120.00 beta=90.00 gamma=90.00
Last column: nearest neighbours and their distance in Å.
Atoms (fractional coordinates):
Ni 0.2439 0.6667 0.3333  3 As 2.33
Fe 0.7388 0.3333 0.6667  3 As 2.37, 6 Ni 2.62-2.64
As 0.0173 0.0000 0.0000  3 Ni 2.33, 3 Fe 2.37

Calculated values
Total moment ... 2.48 μB/f.u.
Density of states at the Fermi level ... 1.860 states/eV/f.u.
Energy relative to the elements ... -0.0022 eV per atom


(9)
Below is a PBEsol-optimized structure of FeNiAs2, with properties calculated at the meta-GGA SCAN level.

Unit cell a=2.9770 b=2.9773 c=5.7980 alpha=90.08 beta=90.00 gamma=90.00
Last column: nearest neighbours and their distance in Å.
Atoms (fractional coordinates):
As 0.0000 0.9994 0.2566  4 Fe 2.53, 4 Ni 2.58, 1 As 2.82
As 0.0000 0.0006 0.7434  4 Fe 2.53, 4 Ni 2.58, 1 As 2.82
Ni 0.5000 0.5000 0.0000  8 As 2.58
Fe 0.5000 0.5000 0.5000  8 As 2.53

Calculated values
Total moment ... 1.75 μB/f.u.
Density of states at the Fermi level ... 3.250 states/eV/f.u.
Distance to the lowest polymorph of the same formula ... 121 meV per atom
Energy relative to the elements ... 0.1011 eV per atom


(10)
Below is a PBEsol-optimized structure of FeNiAs2, with properties calculated at the meta-GGA SCAN level.

Unit cell a=3.1250 b=4.1712 c=4.4322 alpha=101.28 beta=110.64 gamma=90.00
Last column: nearest neighbours and their distance in Å.
Atoms (fractional coordinates):
As 0.9994 0.9194 0.9988  3 Ni 2.36-2.44, 2 Fe 2.56
As 0.7545 0.3399 0.5090  3 Fe 2.39-2.40, 2 Ni 2.50
Fe 0.4774 0.4263 0.9547  7 As 2.39-2.67, 1 Ni 2.61
Ni 0.2687 0.8144 0.5374  5 As 2.36-2.50, 1 Fe 2.61

Calculated values
Total moment ... 2.07 μB/f.u.
Density of states at the Fermi level ... 2.276 states/eV/f.u.
Distance to the lowest polymorph of the same formula ... 11 meV per atom
Energy relative to the elements ... -0.0097 eV per atom


(11)
Below is a PBEsol-optimized structure of FeNiAs, with properties calculated at the meta-GGA SCAN level.

Unit cell a=3.4904 b=5.9426 c=5.9426 alpha=120.00 beta=90.00 gamma=90.00
Last column: nearest neighbours and their distance in Å.
Atoms (fractional coordinates):
As 0.5000 0.0000 0.0000  6 Ni 2.31, 3 Fe 2.41
As 0.0000 0.3333 0.6667  3 Ni 2.25, 6 Fe 2.51
As 0.0000 0.6667 0.3333  3 Ni 2.25, 6 Fe 2.51
Fe 0.5000 0.4047 0.4047  5 As 2.41-2.51, 2 Ni 2.67
Fe 0.5000 0.0000 0.5953  5 As 2.41-2.51, 2 Ni 2.67
Fe 0.5000 0.5953 0.0000  5 As 2.41-2.51, 2 Ni 2.67
Ni 0.0000 0.2548 0.0000  4 As 2.25-2.31
Ni 0.0000 0.0000 0.2548  4 As 2.25-2.31
Ni 0.0000 0.7452 0.7452  4 As 2.25-2.31

Calculated values
Total moment ... 2.27 μB/f.u.
Density of states at the Fermi level ... 2.106 states/eV/f.u.
Energy relative to the elements ... -0.1683 eV per atom


(12)
Below is a PBEsol-optimized structure of FeNiAs2, with properties calculated at the meta-GGA SCAN level.

Unit cell a=3.2852 b=3.2852 c=4.8097 alpha=90.00 beta=90.00 gamma=90.00
Last column: nearest neighbours and their distance in Å.
Atoms (fractional coordinates):
Ni 0.5000 0.5000 0.7957  6 As 2.34-2.47
Fe 0.0000 0.0000 0.4567  6 As 2.31-2.50
As 0.5000 0.5000 0.3102  2 Ni 2.34-2.47, 4 Fe 2.43
As 0.0000 0.0000 0.9374  2 Fe 2.31-2.50, 4 Ni 2.42

Calculated values
Total moment ... 0.01 μB/f.u.
Density of states at the Fermi level ... 1.398 states/eV/f.u.
Distance to the lowest polymorph of the same formula ... 0 meV per atom
Energy relative to the elements ... -0.0203 eV per atom


(13)
Below is a PBEsol-optimized structure of FeAsO2, with properties calculated at the meta-GGA SCAN level.

Unit cell a=3.1921 b=3.1921 c=6.2027 alpha=75.09 beta=75.09 gamma=60.00
Last column: nearest neighbours and their distance in Å.
Atoms (fractional coordinates):
O 0.8960 0.8960 0.3120  1 Fe 1.85
O 0.1040 0.1040 0.6880  1 Fe 1.85
Fe 0.0000 0.0000 0.0000  2 O 1.85
As 0.5000 0.5000 0.5000  6 O 2.15

Calculated values
Total moment ... 3.15 μB/f.u.
Density of states at the Fermi level ... 1.233 states/eV/f.u.
Formation energy from raw total energies ... -0.574 eV/atom


(14)
Below is a PBEsol-optimized structure of Zn3Fe3As4O16, with properties calculated at the meta-GGA SCAN level.

Unit cell a=5.2411 b=8.4397 c=15.0162 alpha=102.74 beta=90.00 gamma=90.00
Last column: nearest neighbours and their distance in Å.
Atoms (fractional coordinates):
As 0.0276 0.6895 0.1065  4 O 1.68-1.78
As 0.5276 0.8105 0.3935  4 O 1.68-1.78
As 0.4724 0.1895 0.6065  4 O 1.68-1.78
As 0.4916 0.1063 0.1449  4 O 1.68-1.76
As 0.5084 0.8937 0.8551  4 O 1.68-1.76
As 0.0084 0.6063 0.6449  4 O 1.68-1.76
As 0.9724 0.3105 0.8935  4 O 1.68-1.78
As 0.9916 0.3937 0.3551  4 O 1.68-1.76
O 0.7492 0.4706 0.8979  1 As 1.78, 1 Fe 1.99
O 0.6713 0.9730 0.0710  1 As 1.68
O 0.3323 0.6224 0.6255  1 As 1.73
O 0.1713 0.5270 0.4290  1 As 1.68
O 0.3287 0.0270 0.9290  1 As 1.68
O 0.1677 0.1224 0.1255  1 As 1.73
O 0.9403 0.5587 0.7505  1 As 1.76
O 0.8323 0.8776 0.8745  1 As 1.73
O 0.5934 0.6798 0.2944  1 As 1.68, 1 Zn 1.88
O 0.7508 0.9706 0.3979  1 As 1.78, 1 Fe 1.99
O 0.7423 0.0697 0.5984  1 As 1.73
O 0.8961 0.8055 0.6587  1 As 1.75
O 0.3961 0.6945 0.8413  1 As 1.75
O 0.8287 0.4730 0.5710  1 As 1.68
O 0.2577 0.9303 0.4016  1 As 1.73
O 0.5597 0.0587 0.2505  1 As 1.76
O 0.0839 0.7625 0.0097  1 As 1.72
O 0.6039 0.3055 0.1587  1 As 1.75
O 0.6677 0.3776 0.3745  1 As 1.73
O 0.0597 0.4413 0.2495  1 As 1.76
O 0.2423 0.4303 0.9016  1 As 1.73
O 0.0934 0.8202 0.2056  1 As 1.68, 1 Zn 1.88
O 0.4066 0.3202 0.7056  1 As 1.68, 1 Zn 1.88
O 0.1039 0.1945 0.3413  1 As 1.75
O 0.7577 0.5697 0.0984  1 As 1.73
O 0.5839 0.7375 0.4903  1 As 1.72
O 0.4161 0.2625 0.5097  1 As 1.72
O 0.4403 0.9413 0.7495  1 As 1.76
O 0.9161 0.2375 0.9903  1 As 1.72
O 0.2508 0.5294 0.1021  1 As 1.78, 1 Fe 1.99
O 0.9066 0.1798 0.7944  1 As 1.68, 1 Zn 1.88
O 0.2492 0.0294 0.6021  1 As 1.78, 1 Fe 1.99
Zn 0.5000 0.5000 0.5000  6 O 2.06-2.13
Zn 0.4165 0.5013 0.2242  4 O 1.88-2.09
Zn 0.0835 0.0013 0.7242  4 O 1.88-2.09
Zn 0.9165 0.9987 0.2758  4 O 1.88-2.09
Zn 0.5835 0.4987 0.7758  4 O 1.88-2.09
Zn 0.0000 0.0000 0.0000  6 O 2.06-2.13
Fe 0.4592 0.1536 0.3787  4 O 1.99-2.20
Fe 0.0000 0.0000 0.5000  4 O 1.99
Fe 0.9592 0.3464 0.1213  4 O 1.99-2.20
Fe 0.5408 0.8464 0.6213  4 O 1.99-2.20
Fe 0.5000 0.5000 0.0000  4 O 1.99
Fe 0.0408 0.6536 0.8787  4 O 1.99-2.20

Calculated values
Total moment ... 12.03 μB/f.u.
Density of states at the Fermi level ... 3.359 states/eV/f.u.
Formation energy from raw total energies ... -1.411 eV/atom


(15)
Below is a PBEsol-optimized structure of FeAsOs2, with properties calculated at the meta-GGA SCAN level.

Unit cell a=2.7939 b=2.7939 c=8.2253 alpha=80.22 beta=80.22 gamma=60.00
Last column: nearest neighbours and their distance in Å.
Atoms (fractional coordinates):
As 0.0000 0.0000 0.0000  6 Os 2.60, 6 As 2.79
Os 0.2490 0.2490 0.2530  3 Fe 2.56, 3 As 2.60, 6 Os 2.79
Os 0.7510 0.7510 0.7470  3 Fe 2.56, 3 As 2.60, 6 Os 2.79
Fe 0.5000 0.5000 0.5000  6 Os 2.56, 6 Fe 2.79

Calculated values
Total moment ... 3.07 μB/f.u.
Density of states at the Fermi level ... 2.892 states/eV/f.u.
Energy relative to the elements ... 0.3111 eV per atom


(16)
Below is a PBEsol-optimized structure of FeAsPOs2, with properties calculated at the meta-GGA SCAN level.

Unit cell a=4.3254 b=4.3254 c=4.5982 alpha=90.00 beta=90.00 gamma=90.00
Last column: nearest neighbours and their distance in Å.
Atoms (fractional coordinates):
P 0.0000 0.0000 0.0000  4 Os 2.16, 2 As 2.30
Os 0.5000 0.0000 0.0000  2 P 2.16
Os 0.0000 0.5000 0.0000  2 P 2.16
As 0.0000 0.0000 0.5000  2 P 2.30
Fe 0.5000 0.5000 0.5000  4 As 3.06, 8 Os 3.16

Calculated values
Total moment ... 3.97 μB/f.u.
Density of states at the Fermi level ... 3.123 states/eV/f.u.
Energy relative to the elements ... 1.2874 eV per atom


(17)
Below is a PBEsol-optimized structure of FeAs2OsSe, with properties calculated at the meta-GGA SCAN level.

Unit cell a=4.5863 b=4.5863 c=5.3505 alpha=90.00 beta=90.00 gamma=90.00
Last column: nearest neighbours and their distance in Å.
Atoms (fractional coordinates):
As 0.0000 0.5000 0.0000  2 Os 2.29
As 0.5000 0.0000 0.0000  2 Os 2.29
Se 0.0000 0.0000 0.5000  2 Os 2.68
Os 0.0000 0.0000 0.0000  4 As 2.29
Fe 0.5000 0.5000 0.5000  4 Se 3.24, 8 As 3.52

Calculated values
Total moment ... 3.48 μB/f.u.
Density of states at the Fermi level ... 7.123 states/eV/f.u.
Formation energy from raw total energies ... 0.981 eV/atom


(18)
Below is a PBEsol-optimized structure of FeAsP2, with properties calculated at the meta-GGA SCAN level.

Unit cell a=5.1944 b=5.1944 c=6.3180 alpha=114.27 beta=114.27 gamma=90.00
Last column: nearest neighbours and their distance in Å.
Atoms (fractional coordinates):
Fe 0.7500 0.2500 0.5000  4 P 2.11
Fe 0.5000 0.5000 0.0000  4 P 2.11
P 0.4220 0.8750 0.2500  2 Fe 2.11
P 0.1250 0.1720 0.7500  2 Fe 2.11
P 0.6250 0.5780 0.7500  2 Fe 2.11
P 0.8280 0.3750 0.2500  2 Fe 2.11
As 0.0000 0.0000 0.0000  4 P 2.39
As 0.2500 0.7500 0.5000  4 P 2.39

Calculated values
Total moment ... 0.00 μB/f.u.
Density of states at the Fermi level ... 1.892 states/eV/f.u.
Energy relative to the elements ... 0.0656 eV per atom


(19)
Below is a PBEsol-optimized structure of FeAsP2, with properties calculated at the meta-GGA SCAN level.

Unit cell a=2.9214 b=4.1271 c=4.5634 alpha=90.00 beta=90.00 gamma=90.00
Last column: nearest neighbours and their distance in Å.
Atoms (fractional coordinates):
As 0.5000 0.0000 0.5000  4 Fe 2.53, 4 P 2.71
P 0.0000 0.0000 0.0000  4 P 2.53, 4 As 2.71
P 0.5000 0.5000 0.0000  4 P 2.53, 4 Fe 2.71
Fe 0.0000 0.5000 0.5000  4 As 2.53, 4 P 2.71

Calculated values
Total moment ... 2.78 μB/f.u.
Density of states at the Fermi level ... 2.683 states/eV/f.u.
Energy relative to the elements ... 0.6396 eV per atom


(20)
Below is a PBEsol-optimized structure of FeAs2P, with properties calculated at the meta-GGA SCAN level.

Unit cell a=4.3492 b=4.3492 c=4.3492 alpha=60.00 beta=60.00 gamma=60.00
Last column: nearest neighbours and their distance in Å.
Atoms (fractional coordinates):
As 0.0000 0.0000 0.0000  4 As 2.66, 4 P 2.66
As 0.7500 0.7500 0.7500  4 Fe 2.66, 4 As 2.66
Fe 0.5000 0.5000 0.5000  4 As 2.66, 4 P 2.66
P 0.2500 0.2500 0.2500  4 As 2.66, 4 Fe 2.66

Calculated values
Total moment ... 2.42 μB/f.u.
Density of states at the Fermi level ... 1.927 states/eV/f.u.
Energy relative to the elements ... 0.5545 eV per atom